Computed, not measured: a relaxed CrGaF crystal at the GGA+U level of DFT.

abc: 2.9590 7.0344 6.8828
angles: 90.00 102.03 90.00
Closest atoms and distances in Å follow each position.
Positions (direct):
Cr 0.0000 0.0000 0.0000  4 Ga 2.69-2.70, 2 Cr 2.96
Cr 0.0000 0.5000 0.0000  4 F 1.98
Ga 0.3357 0.0000 0.6657  4 Ga 2.66-2.96, 2 Cr 2.69-2.70
Ga 0.6643 0.0000 0.3343  4 Ga 2.66-2.96, 2 Cr 2.69-2.70
F 0.4049 0.5000 0.8036  2 Cr 1.98
F 0.5951 0.5000 0.1964  2 Cr 1.98

**Volume**: 140.1 Å³ per cell
**Crystal system**: monoclinic
**E_tot**: -5.023 eV per atom